Record 1
The following is a DFT calculation (PBE) of HfCO2F after structural relaxation.

Unit cell a=4.0952 b=4.0952 c=4.0756 alpha=90.00 beta=90.00 gamma=90.00
Space group P4/mmm (No. 123)
Inequivalent atoms, fractional coordinates:
Hf 0.0000 0.0000 0.0000 (multiplicity 1)
C 0.5000 0.5000 0.5000 (multiplicity 1)
O 0.0000 0.5000 0.0000 (multiplicity 2)
F 0.0000 0.0000 0.5000 (multiplicity 1)

Calculated values
Formation energy from raw total energies (eV per atom): -0.95
Total moment (μB/cell): 1.00
DOS(E_F) (states/eV/atom): 0.360

---

Record 2
The following is a DFT calculation (PBE) of Zr3PdBr after structural relaxation.

Unit cell a=4.9231 b=4.9231 c=4.9231 alpha=90.00 beta=90.00 gamma=90.00
Space group Pm-3m (No. 221)
Inequivalent atoms, fractional coordinates:
Zr 0.0000 0.0000 0.5000 (multiplicity 3)
Pd 0.5000 0.5000 0.5000 (multiplicity 1)
Br 0.0000 0.0000 0.0000 (multiplicity 1)

Calculated values
Formation energy from raw total energies (eV per atom): 0.44
Total moment (μB/cell): 0.00
DOS(E_F) (states/eV/atom): 1.270

---

Q: Which value of total moment does entry 1 give?
A: 1.00 μB/cell